# HfBe3Rh

An optimized crystal structure of HfBe3Rh (PBE-GGA, Alexandria via LeMat-Bulk).

Output
Its density of states at the Fermi level is 0.52 states/eV per atom. As for the formation energy: 0.0142 eV per atom. The electronic total energy comes out at -0.4177 Ry per atom.

a = 4.089 Å, b = 4.089 Å, c = 4.089 Å
α = 90.00°, β = 90.00°, γ = 90.00°
Space group Pm-3m (No. 221)
Unique sites:
Hf 0.000 0.000 0.000 [1 per cell]
Be 0.000 0.500 0.500 [3 per cell]
Rh 0.500 0.500 0.500 [1 per cell]

***

# HfBeRh3

An optimized crystal structure of HfBeRh3 (PBE-GGA, Alexandria via LeMat-Bulk).

Output
Its density of states at the Fermi level is 0.87 states/eV per atom. As for the formation energy: -0.6027 eV per atom. The electronic total energy comes out at -0.5696 Ry per atom.

a = 4.157 Å, b = 4.157 Å, c = 4.157 Å
α = 90.00°, β = 90.00°, γ = 90.00°
Space group Pm-3m (No. 221)
Unique sites:
Hf 0.000 0.000 0.000 [1 per cell]
Be 0.500 0.500 0.500 [1 per cell]
Rh 0.000 0.500 0.500 [3 per cell]

***

# Hf2BeRh2

An optimized crystal structure of Hf2BeRh2 (PBE-GGA, Alexandria via LeMat-Bulk).

Output
Its density of states at the Fermi level is 0.83 states/eV per atom. As for the formation energy: -0.5494 eV per atom. The electronic total energy comes out at -0.6039 Ry per atom.

a = 6.157 Å, b = 6.157 Å, c = 4.321 Å
α = 90.00°, β = 90.00°, γ = 90.00°
Space group P4/mbm (No. 127)
Unique sites:
Hf 0.174 0.326 0.000 [4 per cell]
Be 0.000 0.000 0.500 [2 per cell]
Rh 0.149 0.649 0.500 [4 per cell]

***

# HfBe3Rh

An optimized crystal structure of HfBe3Rh (PBE-GGA, Alexandria via LeMat-Bulk).

Output
Its density of states at the Fermi level is 1.03 states/eV per atom. As for the formation energy: 1.9689 eV per atom. The electronic total energy comes out at -0.2740 Ry per atom.

a = 4.451 Å, b = 4.451 Å, c = 4.451 Å
α = 90.00°, β = 90.00°, γ = 90.00°
Space group Pm-3m (No. 221)
Unique sites:
Hf 0.000 0.000 0.000 [1 per cell]
Be 0.000 0.000 0.500 [3 per cell]
Rh 0.500 0.500 0.500 [1 per cell]